# CdTc2Ag GGA-PBE relaxed
# * density of states at the Fermi level: 1.22 states/eV per atom
# * space-group type: Pmmm, No. 47
# * VASP energy: -0.4077 Ry/atom
data_CdTc2Ag
_space_group_name_H-M_alt 'P 1'
_space_group_IT_number 1
_cell_length_a 2.716
_cell_length_b 4.615
_cell_length_c 5.306
_cell_angle_alpha 90.00
_cell_angle_beta 90.00
_cell_angle_gamma 90.00
loop_
_space_group_symop_operation_xyz
'x,y,z'
loop_
_atom_site_label
_atom_site_fract_x
_atom_site_fract_y
_atom_site_fract_z
Ag1 0.500 0.500 0.250
Cd1 0.500 0.500 0.750
Tc1 0.000 0.000 0.013
Tc2 0.000 0.000 0.487


# VIn2Te4 GGA-PBE relaxed
# * density of states at the Fermi level: 0.97 states/eV per atom
# * space-group type: I4/mmm, No. 139
# * energy relative to the elements, uncorrected: 0.034 eV/atom
data_VIn2Te4
_space_group_name_H-M_alt 'P 1'
_space_group_IT_number 1
_cell_length_a 5.472
_cell_length_b 5.472
_cell_length_c 8.402
_cell_angle_alpha 71.00
_cell_angle_beta 71.00
_cell_angle_gamma 90.00
loop_
_space_group_symop_operation_xyz
'x,y,z'
loop_
_atom_site_label
_atom_site_fract_x
_atom_site_fract_y
_atom_site_fract_z
V1 0.000 0.000 0.000
Te1 0.179 0.179 0.642
Te2 0.821 0.821 0.358
Te3 0.000 0.500 0.000
Te4 0.500 0.000 0.000
In1 0.380 0.380 0.241
In2 0.620 0.620 0.759